The following is a DFT calculation (PBE with a Hubbard U) of a geometry-optimized Pr2NpCoO8 structure.

Total magnetization in μB per formula unit: 0.0
Final energy in eV/atom: -8.158
Symmetry: P-1 (2)

Cell: 5.010 6.130 6.134 Å, 75.66 103.95 108.84°
Sites, in units of the cell vectors:
Pr  0.376  0.648  0.660
Pr  0.624  0.352  0.340
Np  0.000  0.000  0.000
Co  0.000  0.000  0.500
O  0.249  0.946  0.334
O  0.752  0.680  0.022
O  0.776  0.069  0.196
O  0.751  0.054  0.666
O  0.248  0.320  0.978
O  0.224  0.931  0.804
O  0.803  0.663  0.537
O  0.197  0.337  0.463